# 1
DFT (GGA-PBE) results for an optimized crystal structure of K3ErTm3Te8.

Computed properties:
Space group: No. 2
Uncorrected energy, eV/atom: -4.40
ΔE_f (raw), eV per atom: -1.3022

Cell lengths 8.686, 8.690, 9.879 Å; angles 63.93, 63.93, 60.03 degrees
Positions (direct):
K1 0.000 0.000 0.000
K2 0.000 0.500 0.000
K3 0.500 0.000 0.000
Er1 0.000 0.000 0.500
Tm1 0.000 0.500 0.500
Tm2 0.500 0.000 0.500
Tm3 0.500 0.500 0.500
Te1 0.237 0.237 0.294
Te2 0.237 0.732 0.294
Te3 0.264 0.265 0.706
Te4 0.268 0.763 0.706
Te5 0.732 0.237 0.294
Te6 0.736 0.735 0.294
Te7 0.763 0.268 0.706
Te8 0.763 0.763 0.706



# 2
DFT (GGA-PBE) results for an optimized crystal structure of K3Er2TmTe6.

Computed properties:
Space group: No. 12
Uncorrected energy, eV/atom: -4.36
ΔE_f (raw), eV per atom: -1.3787

Cell lengths 7.727, 7.727, 8.634 Å; angles 98.58, 98.58, 119.99 degrees
Positions (direct):
K1 0.000 0.000 0.000
K2 0.333 0.667 0.000
K3 0.667 0.333 0.000
Er1 0.167 0.833 0.500
Er2 0.833 0.167 0.500
Tm1 0.500 0.500 0.500
Te1 0.099 0.431 0.294
Te2 0.237 0.237 0.707
Te3 0.431 0.099 0.294
Te4 0.569 0.901 0.706
Te5 0.763 0.763 0.293
Te6 0.901 0.569 0.706



# 3
DFT (GGA-PBE) results for an optimized crystal structure of K4ErTm3Te8.

Computed properties:
Space group: No. 166
Uncorrected energy, eV/atom: -4.34
ΔE_f (raw), eV per atom: -1.3741

Cell lengths 9.711, 9.711, 9.711 Å; angles 54.62, 54.62, 54.62 degrees
Positions (direct):
K1 0.000 0.000 0.000
K2 0.000 0.500 0.500
K3 0.500 0.000 0.500
K4 0.500 0.500 0.000
Er1 0.500 0.500 0.500
Tm1 0.000 0.000 0.500
Tm2 0.000 0.500 0.000
Tm3 0.500 0.000 0.000
Te1 0.235 0.235 0.235
Te2 0.235 0.736 0.736
Te3 0.264 0.264 0.765
Te4 0.264 0.765 0.264
Te5 0.736 0.235 0.736
Te6 0.736 0.736 0.235
Te7 0.765 0.264 0.264
Te8 0.765 0.765 0.765



# 4
DFT (GGA-PBE) results for an optimized crystal structure of K2Er2UTe6.

Computed properties:
Space group: No. 12
Uncorrected energy, eV/atom: -4.94
ΔE_f (raw), eV per atom: -1.1684

Cell lengths 7.634, 7.634, 8.818 Å; angles 98.33, 98.33, 119.96 degrees
Positions (direct):
K1 0.167 0.833 0.000
K2 0.833 0.167 0.000
Er1 0.332 0.668 0.500
Er2 0.668 0.332 0.500
U1 0.000 0.000 0.500
Te1 0.071 0.402 0.706
Te2 0.266 0.266 0.296
Te3 0.402 0.071 0.706
Te4 0.598 0.929 0.294
Te5 0.734 0.734 0.704
Te6 0.929 0.598 0.294



# 5
DFT (GGA-PBE) results for an optimized crystal structure of K3ErU3Te8.

Computed properties:
Space group: No. 166
Uncorrected energy, eV/atom: -5.41
ΔE_f (raw), eV per atom: -0.9515

Cell lengths 9.866, 9.866, 9.866 Å; angles 53.55, 53.55, 53.55 degrees
Positions (direct):
K1 0.000 0.500 0.500
K2 0.500 0.000 0.500
K3 0.500 0.500 0.000
Er1 0.500 0.500 0.500
U1 0.000 0.000 0.500
U2 0.000 0.500 0.000
U3 0.500 0.000 0.000
Te1 0.237 0.237 0.237
Te2 0.237 0.735 0.735
Te3 0.265 0.265 0.763
Te4 0.265 0.763 0.265
Te5 0.735 0.237 0.735
Te6 0.735 0.735 0.237
Te7 0.763 0.265 0.265
Te8 0.763 0.763 0.763



# 6
DFT (GGA-PBE) results for an optimized crystal structure of K3ErU2Te6.

Computed properties:
Space group: No. 12
Uncorrected energy, eV/atom: -5.12
ΔE_f (raw), eV per atom: -1.0143

Cell lengths 7.781, 7.781, 8.682 Å; angles 98.59, 98.59, 120.00 degrees
Positions (direct):
K1 0.000 0.000 0.000
K2 0.332 0.668 0.000
K3 0.668 0.332 0.000
Er1 0.500 0.500 0.500
U1 0.167 0.833 0.500
U2 0.833 0.167 0.500
Te1 0.101 0.430 0.289
Te2 0.242 0.242 0.711
Te3 0.430 0.101 0.289
Te4 0.570 0.899 0.711
Te5 0.758 0.758 0.289
Te6 0.899 0.570 0.711



# 7
DFT (GGA-PBE) results for an optimized crystal structure of K4Er3VTe8.

Computed properties:
Space group: No. 166
Uncorrected energy, eV/atom: -4.42
ΔE_f (raw), eV per atom: -1.1498

Cell lengths 9.671, 9.671, 9.671 Å; angles 53.91, 53.91, 53.91 degrees
Positions (direct):
K1 0.000 0.000 0.000
K2 0.000 0.500 0.500
K3 0.500 0.000 0.500
K4 0.500 0.500 0.000
Er1 0.000 0.000 0.500
Er2 0.000 0.500 0.000
Er3 0.500 0.000 0.000
V1 0.500 0.500 0.500
Te1 0.237 0.237 0.237
Te2 0.251 0.724 0.724
Te3 0.276 0.276 0.749
Te4 0.276 0.749 0.276
Te5 0.724 0.251 0.724
Te6 0.724 0.724 0.251
Te7 0.749 0.276 0.276
Te8 0.763 0.763 0.763



# 8
DFT (GGA-PBE) results for an optimized crystal structure of K3Y3ErTe8.

Computed properties:
Space group: No. 166
Uncorrected energy, eV/atom: -4.82
ΔE_f (raw), eV per atom: -1.3298

Cell lengths 9.917, 9.917, 9.917 Å; angles 52.49, 52.49, 52.49 degrees
Positions (direct):
K1 0.000 0.500 0.500
K2 0.500 0.000 0.500
K3 0.500 0.500 0.000
Y1 0.000 0.000 0.500
Y2 0.000 0.500 0.000
Y3 0.500 0.000 0.000
Er1 0.500 0.500 0.500
Te1 0.236 0.236 0.236
Te2 0.236 0.736 0.736
Te3 0.264 0.264 0.764
Te4 0.264 0.764 0.264
Te5 0.736 0.236 0.736
Te6 0.736 0.736 0.236
Te7 0.764 0.264 0.264
Te8 0.764 0.764 0.764



# 9
DFT (GGA-PBE) results for an optimized crystal structure of K3YEr2Te6.

Computed properties:
Space group: No. 12
Uncorrected energy, eV/atom: -4.54
ΔE_f (raw), eV per atom: -1.3924

Cell lengths 7.753, 7.753, 8.635 Å; angles 98.60, 98.60, 120.00 degrees
Positions (direct):
K1 0.000 0.000 0.000
K2 0.334 0.666 0.000
K3 0.666 0.334 0.000
Y1 0.500 0.500 0.500
Er1 0.167 0.833 0.500
Er2 0.833 0.167 0.500
Te1 0.095 0.431 0.292
Te2 0.234 0.234 0.707
Te3 0.431 0.095 0.292
Te4 0.569 0.905 0.708
Te5 0.766 0.766 0.293
Te6 0.905 0.569 0.708



# 10
DFT (GGA-PBE) results for an optimized crystal structure of K4Y3ErTe8.

Computed properties:
Space group: No. 166
Uncorrected energy, eV/atom: -4.75
ΔE_f (raw), eV per atom: -1.4049

Cell lengths 9.739, 9.739, 9.739 Å; angles 54.92, 54.92, 54.92 degrees
Positions (direct):
K1 0.000 0.000 0.000
K2 0.000 0.500 0.500
K3 0.500 0.000 0.500
K4 0.500 0.500 0.000
Y1 0.000 0.000 0.500
Y2 0.000 0.500 0.000
Y3 0.500 0.000 0.000
Er1 0.500 0.500 0.500
Te1 0.236 0.236 0.236
Te2 0.238 0.735 0.735
Te3 0.265 0.265 0.762
Te4 0.265 0.762 0.265
Te5 0.735 0.238 0.735
Te6 0.735 0.735 0.238
Te7 0.762 0.265 0.265
Te8 0.764 0.764 0.764



# 11
DFT (GGA-PBE) results for an optimized crystal structure of K3YEr3Te8.

Computed properties:
Space group: No. 166
Uncorrected energy, eV/atom: -4.55
ΔE_f (raw), eV per atom: -1.3160

Cell lengths 9.888, 9.888, 9.888 Å; angles 52.40, 52.40, 52.40 degrees
Positions (direct):
K1 0.000 0.500 0.500
K2 0.500 0.000 0.500
K3 0.500 0.500 0.000
Y1 0.500 0.500 0.500
Er1 0.000 0.000 0.500
Er2 0.000 0.500 0.000
Er3 0.500 0.000 0.000
Te1 0.231 0.738 0.738
Te2 0.236 0.236 0.236
Te3 0.262 0.262 0.769
Te4 0.262 0.769 0.262
Te5 0.738 0.231 0.738
Te6 0.738 0.738 0.231
Te7 0.764 0.764 0.764
Te8 0.769 0.262 0.262



# 12
DFT (GGA-PBE) results for an optimized crystal structure of KY3Er2Te6.

Computed properties:
Space group: No. 12
Uncorrected energy, eV/atom: -5.32
ΔE_f (raw), eV per atom: -1.2810

Cell lengths 9.886, 9.886, 8.960 Å; angles 103.38, 103.38, 25.54 degrees
Positions (direct):
K1 0.000 0.000 0.000
Y1 0.000 0.000 0.500
Y2 0.341 0.341 0.183
Y3 0.659 0.659 0.817
Er1 0.332 0.332 0.658
Er2 0.668 0.668 0.342
Te1 0.167 0.167 0.580
Te2 0.175 0.175 0.089
Te3 0.495 0.495 0.735
Te4 0.505 0.505 0.265
Te5 0.825 0.825 0.911
Te6 0.833 0.833 0.420